Entry from Alexandria via LeMat-Bulk: a crystal of GeTe2Mo relaxed with PBEsol (meta-GGA SCAN).

Cell: 3.3618 3.3618 29.0175 Å, 90.00 90.00 120.00°
Last column: nearest neighbours and their distance in Å.
Fractional coordinates of all 12 atoms:
Ge1 0.0000 0.0000 0.0000  2 Te 2.94
Ge2 0.3333 0.6667 0.6667  2 Te 2.94
Ge3 0.6667 0.3333 0.3333  2 Te 2.94
Te1 0.0000 0.0000 0.1014  3 Mo 2.71, 1 Ge 2.94
Te2 0.0000 0.0000 0.8986  3 Mo 2.71, 1 Ge 2.94
Te3 0.3333 0.6667 0.5653  3 Mo 2.71, 1 Ge 2.94
Te4 0.3333 0.6667 0.7681  3 Mo 2.71, 1 Ge 2.94
Te5 0.6667 0.3333 0.2319  3 Mo 2.71, 1 Ge 2.94
Te6 0.6667 0.3333 0.4347  3 Mo 2.71, 1 Ge 2.94
Mo1 0.0000 0.0000 0.5000  6 Te 2.71
Mo2 0.3333 0.6667 0.1667  6 Te 2.71
Mo3 0.6667 0.3333 0.8333  6 Te 2.71

Calculated values
The calculation puts the uncorrected formation energy at 0.87 eV per formula unit.

Entry from Alexandria via LeMat-Bulk: a crystal of GeTe2Mo relaxed with PBEsol (meta-GGA SCAN).

Cell: 3.1115 3.1115 31.6494 Å, 90.00 90.00 120.00°
Last column: nearest neighbours and their distance in Å.
Fractional coordinates of all 12 atoms:
Ge1 0.0000 0.0000 0.0000  6 Ge 3.11, 6 Te 3.18
Ge2 0.3333 0.6667 0.6667  6 Ge 3.11, 6 Te 3.18
Ge3 0.6667 0.3333 0.3333  6 Ge 3.11, 6 Te 3.18
Te1 0.0000 0.0000 0.4161  1 Mo 2.65
Te2 0.0000 0.0000 0.5839  1 Mo 2.65
Te3 0.3333 0.6667 0.0828  1 Mo 2.65
Te4 0.3333 0.6667 0.2505  1 Mo 2.65
Te5 0.6667 0.3333 0.7495  1 Mo 2.65
Te6 0.6667 0.3333 0.9172  1 Mo 2.65
Mo1 0.0000 0.0000 0.5000  2 Te 2.65
Mo2 0.3333 0.6667 0.1667  2 Te 2.65
Mo3 0.6667 0.3333 0.8333  2 Te 2.65

Calculated values
The calculation puts the uncorrected formation energy at 3.51 eV per formula unit.

Entry from Alexandria via LeMat-Bulk: a crystal of Ti2Ge2Mo relaxed with PBEsol (meta-GGA SCAN).

Cell: 6.6057 6.6057 3.4899 Å, 90.00 90.00 90.00°
Last column: nearest neighbours and their distance in Å.
Fractional coordinates of all 10 atoms:
Ti1 0.1703 0.3297 0.0000  6 Ge 2.53-2.67
Ti2 0.3297 0.8297 0.0000  6 Ge 2.53-2.67
Ti3 0.6703 0.1703 0.0000  6 Ge 2.53-2.67
Ti4 0.8297 0.6703 0.0000  6 Ge 2.53-2.67
Ge1 0.1331 0.6331 0.5000  1 Ge 2.49, 6 Ti 2.53-2.67, 2 Mo 2.58
Ge2 0.3669 0.1331 0.5000  1 Ge 2.49, 6 Ti 2.53-2.67, 2 Mo 2.58
Ge3 0.6331 0.8669 0.5000  1 Ge 2.49, 6 Ti 2.53-2.67, 2 Mo 2.58
Ge4 0.8669 0.3669 0.5000  1 Ge 2.49, 6 Ti 2.53-2.67, 2 Mo 2.58
Mo1 0.0000 0.0000 0.5000  4 Ge 2.58
Mo2 0.5000 0.5000 0.5000  4 Ge 2.58

Calculated values
Its formation energy is -0.648 eV per atom.

Entry from Alexandria via LeMat-Bulk: a crystal of GeMoW3 relaxed with PBEsol (meta-GGA SCAN).

Cell: 4.4970 4.4970 4.4970 Å, 90.00 90.00 90.00°
Last column: nearest neighbours and their distance in Å.
Fractional coordinates of all 5 atoms:
Ge1 0.0000 0.0000 0.0000  6 W 2.25
Mo1 0.5000 0.5000 0.5000  12 W 3.18
W1 0.0000 0.0000 0.5000  2 Ge 2.25
W2 0.0000 0.5000 0.0000  2 Ge 2.25
W3 0.5000 0.0000 0.0000  2 Ge 2.25

Calculated values
Its formation energy is 1.872 eV per atom.

Entry from Alexandria via LeMat-Bulk: a crystal of Zn2GeMoW relaxed with PBEsol (meta-GGA SCAN).

Cell: 4.8313 4.8313 4.5740 Å, 90.00 90.00 90.00°
Last column: nearest neighbours and their distance in Å.
Fractional coordinates of all 5 atoms:
Zn1 0.0000 0.5000 0.0000  2 Mo 2.42
Zn2 0.5000 0.0000 0.0000  2 Mo 2.42
Ge1 0.0000 0.0000 0.5000  8 Zn 3.33, 4 W 3.42
Mo1 0.5000 0.5000 0.0000  2 W 2.29, 4 Zn 2.42
W1 0.5000 0.5000 0.5000  2 Mo 2.29

Calculated values
Its formation energy is 1.573 eV per atom.

Entry from Alexandria via LeMat-Bulk: a crystal of YGe3Mo relaxed with PBEsol (meta-GGA SCAN).

Cell: 5.1593 5.1593 5.1593 Å, 90.00 90.00 90.00°
Last column: nearest neighbours and their distance in Å.
Fractional coordinates of all 5 atoms:
Y1 0.0000 0.0000 0.0000  6 Ge 2.58
Ge1 0.0000 0.0000 0.5000  2 Y 2.58
Ge2 0.0000 0.5000 0.0000  2 Y 2.58
Ge3 0.5000 0.0000 0.0000  2 Y 2.58
Mo1 0.5000 0.5000 0.5000  12 Ge 3.65

Calculated values
Its formation energy is 1.393 eV per atom.

Entry from Alexandria via LeMat-Bulk: a crystal of YGeMo3 relaxed with PBEsol (meta-GGA SCAN).

Cell: 4.6562 4.6562 4.6562 Å, 90.00 90.00 90.00°
Last column: nearest neighbours and their distance in Å.
Fractional coordinates of all 5 atoms:
Y1 0.0000 0.0000 0.0000  12 Mo 3.29
Ge1 0.5000 0.5000 0.5000  6 Mo 2.33
Mo1 0.0000 0.5000 0.5000  2 Ge 2.33
Mo2 0.5000 0.0000 0.5000  2 Ge 2.33
Mo3 0.5000 0.5000 0.0000  2 Ge 2.33

Calculated values
Its formation energy is 0.876 eV per atom.

Entry from Alexandria via LeMat-Bulk: a crystal of Zr2Ge2Mo relaxed with PBEsol (meta-GGA SCAN).

Cell: 6.7749 6.7749 3.7937 Å, 90.00 90.00 90.00°
Last column: nearest neighbours and their distance in Å.
Fractional coordinates of all 10 atoms:
Zr1 0.1730 0.3270 0.0000  6 Ge 2.66-2.82
Zr2 0.3270 0.8270 0.0000  6 Ge 2.66-2.82
Zr3 0.6730 0.1730 0.0000  6 Ge 2.66-2.82
Zr4 0.8270 0.6730 0.0000  6 Ge 2.66-2.82
Ge1 0.1320 0.6320 0.5000  1 Ge 2.53, 2 Mo 2.65, 6 Zr 2.66-2.82
Ge2 0.3680 0.1320 0.5000  1 Ge 2.53, 2 Mo 2.65, 6 Zr 2.66-2.82
Ge3 0.6320 0.8680 0.5000  1 Ge 2.53, 2 Mo 2.65, 6 Zr 2.66-2.82
Ge4 0.8680 0.3680 0.5000  1 Ge 2.53, 2 Mo 2.65, 6 Zr 2.66-2.82
Mo1 0.0000 0.0000 0.5000  4 Ge 2.65
Mo2 0.5000 0.5000 0.5000  4 Ge 2.65

Calculated values
Its formation energy is -0.783 eV per atom.

Entry from Alexandria via LeMat-Bulk: a crystal of ZrGeMo relaxed with PBEsol (meta-GGA SCAN).

Cell: 6.9902 3.5310 8.2867 Å, 90.00 90.00 90.00°
Last column: nearest neighbours and their distance in Å.
Fractional coordinates of all 12 atoms:
Zr1 0.0483 0.2500 0.1671  5 Ge 2.75-2.91, 2 Mo 3.01
Zr2 0.4517 0.7500 0.6671  5 Ge 2.75-2.91, 2 Mo 3.01
Zr3 0.5483 0.2500 0.3329  5 Ge 2.75-2.91, 2 Mo 3.01
Zr4 0.9517 0.7500 0.8329  5 Ge 2.75-2.91, 2 Mo 3.01
Ge1 0.2493 0.7500 0.3609  4 Mo 2.56-2.71, 4 Zr 2.75-2.77
Ge2 0.2507 0.2500 0.8609  4 Mo 2.56-2.71, 4 Zr 2.75-2.77
Ge3 0.7493 0.7500 0.1391  4 Mo 2.56-2.71, 4 Zr 2.75-2.77
Ge4 0.7507 0.2500 0.6391  4 Mo 2.56-2.71, 4 Zr 2.75-2.77
Mo1 0.1270 0.2500 0.5602  4 Ge 2.56-2.71, 2 Mo 2.70
Mo2 0.3730 0.7500 0.0602  4 Ge 2.56-2.71, 2 Mo 2.70
Mo3 0.6270 0.2500 0.9398  4 Ge 2.56-2.71, 2 Mo 2.70
Mo4 0.8730 0.7500 0.4398  4 Ge 2.56-2.71, 2 Mo 2.70

Calculated values
Its formation energy is -0.696 eV per atom.

Entry from Alexandria via LeMat-Bulk: a crystal of NaGe3N relaxed with PBEsol (meta-GGA SCAN).

Cell: 4.9747 4.9747 4.9747 Å, 90.00 90.00 90.00°
Last column: nearest neighbours and their distance in Å.
Fractional coordinates of all 5 atoms:
Na1 0.0000 0.0000 0.0000  6 Ge 2.49
Ge1 0.0000 0.0000 0.5000  2 Na 2.49
Ge2 0.0000 0.5000 0.0000  2 Na 2.49
Ge3 0.5000 0.0000 0.0000  2 Na 2.49
N1 0.5000 0.5000 0.5000  12 Ge 3.52

Calculated values
The calculation puts the uncorrected formation energy at 10.33 eV per formula unit.

Entry from Alexandria via LeMat-Bulk: a crystal of NaNiGe2N relaxed with PBEsol (meta-GGA SCAN).

Cell: 4.1572 4.1572 4.2029 Å, 90.00 90.00 90.00°
Last column: nearest neighbours and their distance in Å.
Fractional coordinates of all 5 atoms:
Na1 0.0000 0.0000 0.0000  2 N 2.10
Ni1 0.5000 0.5000 0.0000  4 Na 2.94, 8 Ge 2.96
Ge1 0.0000 0.5000 0.5000  2 N 2.08
Ge2 0.5000 0.0000 0.5000  2 N 2.08
N1 0.0000 0.0000 0.5000  4 Ge 2.08, 2 Na 2.10

Calculated values
The calculation puts the uncorrected formation energy at 3.35 eV per formula unit.

Entry from Alexandria via LeMat-Bulk: a crystal of NaGeSeN2 relaxed with PBEsol (meta-GGA SCAN).

Cell: 4.2696 4.2696 5.3219 Å, 90.00 90.00 90.00°
Last column: nearest neighbours and their distance in Å.
Fractional coordinates of all 5 atoms:
Na1 0.0000 0.0000 0.0000  4 N 2.13
Ge1 0.5000 0.5000 0.5000  4 Se 3.02
Se1 0.0000 0.0000 0.5000  2 Na 2.66
N1 0.0000 0.5000 0.0000  2 Na 2.13
N2 0.5000 0.0000 0.0000  2 Na 2.13

Calculated values
The calculation puts the uncorrected formation energy at 8.23 eV per formula unit.

no.,magnetic moment (Bohr magnetons per cell)
1,0.0
2,0.0
3,0.0
4,0.0
5,0.0
6,3.8
7,0.0
8,0.0
9,0.0
10,2.4
11,0.0
12,5.0